## AcLa5Tb8 (PBE-GGA)

Data for a relaxed structure of AcLa5Tb8.

Results
Its density of states at the Fermi level is 1.48 states/eV per atom. Its calculated density is 7.50 g/cm³. The total energy is -4.6404 eV per atom.

a = 17.805 Å, b = 3.610 Å, c = 17.136 Å
α = 90.00°, β = 118.23°, γ = 90.00°
Space group C2/m (No. 12)
Asymmetric unit:
1 Ac 0.000 0.000 0.000 x2
2 La 0.000 0.500 0.500 x2
3 La 0.144 0.000 0.441 x4
4 La 0.217 0.000 0.147 x4
5 Tb 0.078 0.000 0.721 x4
6 Tb 0.078 0.500 0.226 x4
7 Tb 0.147 0.500 0.936 x4
8 Tb 0.217 0.500 0.645 x4

## AcLaTbTe3 (PBE-GGA)

Data for a relaxed structure of AcLaTbTe3.

Results
Its density of states at the Fermi level is 0.68 states/eV per atom. Its calculated density is 7.33 g/cm³. The total energy is -5.1789 eV per atom.

a = 8.815 Å, b = 4.702 Å, c = 10.609 Å
α = 90.00°, β = 110.77°, γ = 90.00°
Space group P2_1/m (No. 11)
Asymmetric unit:
1 Ac 0.191 0.250 0.236 x2
2 La 0.350 0.750 0.871 x2
3 Tb 0.131 0.250 0.612 x2
4 Te 0.100 0.250 0.894 x2
5 Te 0.251 0.750 0.490 x2
6 Te 0.452 0.750 0.204 x2

## AcLa4Tb3Te8 (PBE-GGA)

Data for a relaxed structure of AcLa4Tb3Te8.

Results
Its density of states at the Fermi level is 0.78 states/eV per atom. Its calculated density is 7.21 g/cm³. The total energy is -5.3896 eV per atom.

a = 9.0519 Å, b = 9.0519 Å, c = 22.1949 Å
α = 90.00°, β = 90.00°, γ = 120.00°
Space group R-3m (No. 166, hexagonal axes)
Asymmetric unit:
1 Ac 0.0000 0.0000 0.0000 x3
2 La 0.0000 0.0000 0.5000 x3
3 La 0.0000 0.5000 0.5000 x9
4 Tb 0.0000 0.5000 0.0000 x9
5 Te 0.0000 0.0000 0.2552 x6
6 Te 0.0117 0.5059 0.2526 x18